GGA-PBE Zn3P2Pd8, optimized geometry; uncorrected energy = -61.87 eV per cell; M_tot = 0.0 Bohr magnetons per cell; crystal system = orthorhombic; ρ = 9.0 g/cm³; E_form = -0.438 eV per atom
1.0
-3.418 0.725 2.059
-3.761 -5.115 -4.442
3.393 -2.184 6.400
Pd P Zn
8 2 3
Direct
0.500 0.886 0.276
0.500 0.114 0.724
0.000 0.127 0.255
0.000 0.873 0.745
0.000 0.654 0.309
0.500 0.390 0.276
0.500 0.610 0.724
0.000 0.346 0.691
0.500 0.247 0.495
0.500 0.753 0.505
0.000 0.283 0.000
0.000 0.717 0.000
0.500 0.000 0.000

=====

GGA-PBE ErZnPtRh, optimized geometry; uncorrected energy = -22.45 eV per cell; M_tot = 0.0 Bohr magnetons per cell; crystal system = cubic; polymorph energy (0 for the lowest one) = 53.7 meV/atom; ρ = 12.9 g/cm³; E_form = -0.804 eV per atom
1.0
4.589 0.000 0.000
2.294 3.974 0.000
2.294 1.325 3.747
Er Zn Rh Pt
1 1 1 1
Direct
0.250 0.250 0.250
0.750 0.750 0.750
0.000 0.000 0.000
0.500 0.500 0.500

=====

GGA-PBE CdSn2Sb, optimized geometry; uncorrected energy = -12.67 eV per cell; M_tot = 0.0 Bohr magnetons per cell; crystal system = tetragonal; polymorph energy (0 for the lowest one) = 12.6 meV/atom; ρ = 7.2 g/cm³
1.0
-1.028 0.482 -3.681
1.200 -3.571 -0.803
-6.650 -2.576 1.520
Sb Cd Sn
1 1 2
Direct
0.500 0.500 0.000
0.500 0.500 0.500
0.000 0.000 0.757
0.000 0.000 0.243

=====

GGA-PBE Co3Sb, optimized geometry; uncorrected energy = -24.47 eV per cell; M_tot = 3.7 Bohr magnetons per cell; crystal system = orthorhombic; ρ = 9.3 g/cm³
1.0
2.900 0.000 0.000
0.000 3.506 0.000
0.000 0.000 5.260
Sb Co
1 3
Direct
0.000 0.000 0.000
0.500 0.500 0.730
0.000 0.000 0.500
0.500 0.500 0.270

=====

GGA-PBE Tb5InNi2, optimized geometry; uncorrected energy = -80.43 eV per cell; M_tot = 0.0 Bohr magnetons per cell; crystal system = tetragonal; ρ = 8.5 g/cm³; E_form = -0.345 eV per atom
1.0
-4.603 4.774 3.979
-1.099 -5.499 5.327
8.149 2.618 -1.230
Ni In Tb
4 2 10
Direct
0.874 0.626 0.000
0.374 0.874 0.000
0.126 0.374 0.000
0.626 0.126 0.000
0.750 0.750 0.500
0.250 0.250 0.500
0.500 0.500 0.000
0.975 0.475 0.270
0.475 0.295 0.270
0.295 0.795 0.270
0.705 0.205 0.730
0.025 0.525 0.730
0.795 0.975 0.270
0.000 0.000 0.000
0.205 0.025 0.730
0.525 0.705 0.730

=====

GGA-PBE ScCoAg2, optimized geometry; uncorrected energy = -18.56 eV per cell; M_tot = 0.9 Bohr magnetons per cell; crystal system = trigonal; ρ = 7.6 g/cm³; E_form = 0.145 eV per atom
1.0
-6.701 2.252 -5.449
-7.490 -0.608 -4.817
-8.272 1.634 -2.928
Co Sc Ag
1 1 2
Direct
0.496 0.496 0.496
0.760 0.760 0.760
0.000 0.000 0.000
0.244 0.244 0.244

=====

> Among the records above, which one has the lowest uncorrected energy?

Tb5InNi2

=====

> M_tot of number 4 (Co3Sb)?

3.7 Bohr magnetons per cell

=====

> Among the records above, which one has the lowest uncorrected energy?

Tb5InNi2

=====

> What is the uncorrected energy in the first record?

-61.87 eV per cell